Compound: CdGa2MoO6
Source: the Alexandria database
Functional: PBE+U
Structure: optimized geometry Values from VASP.

```
&SYSTEM
  ibrav = 0, nat = 20, ntyp = 4
/
ATOMIC_SPECIES
Cd 112.41 Cd.upf
Ga 69.72 Ga.upf
Mo 95.94 Mo.upf
O 16.00 O.upf
ATOMIC_POSITIONS crystal
Cd 0.250 0.915 0.085
Cd 0.750 0.085 0.915
Ga 0.199 0.780 0.596
Ga 0.301 0.404 0.220
Ga 0.801 0.220 0.404
Ga 0.699 0.596 0.780
Mo 0.250 0.279 0.721
Mo 0.750 0.721 0.279
O 0.145 0.991 0.766
O 0.355 0.234 0.009
O 0.855 0.009 0.234
O 0.645 0.766 0.991
O 0.407 0.835 0.377
O 0.093 0.623 0.165
O 0.593 0.165 0.623
O 0.907 0.377 0.835
O 0.877 0.713 0.563
O 0.623 0.437 0.287
O 0.123 0.287 0.437
O 0.377 0.563 0.713
CELL_PARAMETERS angstrom
5.421 -0.400 -0.415
1.250 6.774 0.080
1.250 -0.171 6.772
```

Values from the calculation:
The volume is 12.79 Å³/atom. The total DFT energy (no corrections) is -120.32 eV for the cell shown. Its space group is C2/c, No. 15.